A relaxed HfWO3 crystal. Source: the Alexandria database, functional GGA+U.

M_tot = 3.6 μB/f.u.
calculated density = 10.43 Mg/m³
electronic total energy = -7.54 eV/atom
space-group type = Pm-3m (221)

Lattice parameters (Å, degrees): 4.028 4.028 4.028 90.00 90.00 90.00
Each line ends with the local moment (μB).
Sites, in units of the cell vectors:
O (0.500, 0.000, 0.000)  0.05
O (0.000, 0.500, 0.000)  0.02
O (0.000, 0.000, 0.500)  -0.01
Hf (0.500, 0.500, 0.500)  0.88
W (0.000, 0.000, 0.000)  2.15